{
  "formula": "ZnInGe",
  "functional": "GGA-PBE",
  "state": "relaxed",
  "final_energy_ev_per_atom": -2.728,
  "magmom_total_mub_per_cell": 0.00,
  "cell": [[4.233, 0.000, 0.000], [-2.117, 3.666, 0.000], [0.000, 0.000, 4.258]],
  "species": ["Zn", "In", "Ge"],
  "fractional_positions": [[0.000, 0.000, 0.000], [0.667, 0.333, 0.419], [0.333, 0.667, 0.858]]
}